# 1
Computed, not measured: a relaxed Mn3W crystal at the PBE-GGA level of DFT.

Calculated values
DOS(E_F)	1.707	states/eV per atom
calculated formation energy	0.299	eV/atom
crystal system	hexagonal
E	-39.27	eV/f.u.

a = 2.641 Å, b = 2.641 Å, c = 8.410 Å
α = 90.00°, β = 90.00°, γ = 120.00°
Each line ends with the local moment (μB).
Sites, in units of the cell vectors:
Mn  0.333  0.667  0.250  -1.02
Mn  0.000  0.000  0.021  1.33
Mn  0.000  0.000  0.479  1.33
W  0.333  0.667  0.750  -0.05



# 2
Computed, not measured: a relaxed RbNbSnRu2 crystal at the PBE-GGA level of DFT.

Calculated values
DOS(E_F)	1.364	states/eV per atom
calculated formation energy	2.733	eV/atom
crystal system	tetragonal
E	-19.93	eV/f.u.

a = 4.622 Å, b = 5.483 Å, c = 4.622 Å
α = 90.00°, β = 90.00°, γ = 90.00°
Sites, in units of the cell vectors:
Nb  0.500  0.500  0.500
Ru  0.000  0.000  0.500
Ru  0.500  0.000  0.000
Sn  0.000  0.500  0.000
Rb  0.000  0.000  0.000



# 3
Computed, not measured: a relaxed K3Pt5 crystal at the PBE-GGA level of DFT.

Calculated values
DOS(E_F)	1.164	states/eV per atom
calculated formation energy	0.107	eV/atom
crystal system	orthorhombic
E	-32.64	eV/f.u.

a = 9.090 Å, b = 12.067 Å, c = 4.956 Å
α = 90.00°, β = 90.00°, γ = 131.59°
Sites, in units of the cell vectors:
Pt  0.809  0.997  0.750
Pt  0.495  0.748  0.000
Pt  0.505  0.253  0.000
Pt  0.192  0.188  0.750
Pt  0.809  0.812  0.250
Pt  0.191  0.004  0.250
Pt  0.505  0.253  0.500
Pt  0.000  0.115  0.250
Pt  0.000  0.885  0.750
Pt  0.495  0.748  0.500
K  0.637  0.073  0.250
K  0.363  0.436  0.250
K  0.363  0.927  0.750
K  0.637  0.564  0.750
K  0.000  0.358  0.750
K  0.000  0.642  0.250



# 4
Computed, not measured: a relaxed CePmSm4Se8 crystal at the PBE-GGA level of DFT.

Calculated values
DOS(E_F)	1.007	states/eV per atom
energy relative to the elements, uncorrected	-1.71	eV per atom
crystal system	trigonal
E	-81.43	eV/f.u.

a = 8.639 Å, b = 8.639 Å, c = 8.648 Å
α = 60.04°, β = 60.04°, γ = 60.00°
Each line ends with the local moment (μB).
Sites, in units of the cell vectors:
Sm  0.000  0.500  0.500  0.04
Sm  0.500  0.000  0.500  0.04
Sm  0.625  0.625  0.125  0.04
Sm  0.000  0.000  0.500  0.04
Se  0.757  0.228  0.259  0.00
Se  0.241  0.241  0.739  -0.01
Se  0.779  0.241  0.739  -0.01
Se  0.228  0.757  0.259  0.00
Se  0.757  0.757  0.259  0.00
Se  0.241  0.779  0.739  -0.01
Se  0.240  0.240  0.280  -0.01
Se  0.757  0.757  0.728  0.00
Pm  0.000  0.000  0.000  0.04
Ce  0.375  0.375  0.876  1.16



# 5
Computed, not measured: a relaxed YAsOs4 crystal at the PBE-GGA level of DFT.

Calculated values
DOS(E_F)	1.554	states/eV per atom
calculated formation energy	0.326	eV/atom
crystal system	cubic
E	-54.08	eV/f.u.

a = 5.292 Å, b = 5.292 Å, c = 5.292 Å
α = 60.00°, β = 60.00°, γ = 60.00°
Sites, in units of the cell vectors:
Y  0.750  0.750  0.750
Os  0.374  0.374  0.374
Os  0.374  0.877  0.374
Os  0.877  0.374  0.374
Os  0.374  0.374  0.877
As  0.000  0.000  0.000



# 6
Computed, not measured: a relaxed La3NiAs crystal at the PBE-GGA level of DFT.

Calculated values
DOS(E_F)	1.203	states/eV per atom
calculated formation energy	-0.344	eV/atom
crystal system	cubic
E	-26.93	eV/f.u.

a = 5.339 Å, b = 5.339 Å, c = 5.339 Å
α = 90.00°, β = 90.00°, γ = 90.00°
Sites, in units of the cell vectors:
La  0.000  0.500  0.000
La  0.500  0.000  0.000
La  0.000  0.000  0.500
Ni  0.000  0.000  0.000
As  0.500  0.500  0.500